{
  "formula": "CdCu3Cl",
  "functional": "meta-GGA SCAN",
  "state": "PBEsol geometry",
  "formation_energy_uncorrected_ev_per_atom": 0.94,
  "n_ef_per_ev_cell": 3.26,
  "lattice": [[-4.1042, -1.1272, 2.1684], [-0.7300, -3.4794, -3.1903], [2.3323, -3.0725, 2.8173]],
  "species": ["Cl", "Cu", "Cu", "Cu", "Cd"],
  "fractional_positions": [[0.5000, 0.5000, 0.5000], [0.0000, 0.0000, 0.5000], [0.5000, 0.0000, 0.0000], [0.0000, 0.5000, 0.0000], [0.0000, 0.0000, 0.0000]]
}